# BaCdGa4, optimized geometry, DFT GGA-PBE
data_BaCdGa4
_chemical_formula_sum 'Ba4 Cd4 Ga16'
_space_group_name_H-M_alt 'F -4 3 m'
_space_group_IT_number 216
_space_group_name_Hall 'F -4 2 3'
_cell_length_a 8.3204
_cell_length_b 8.3204
_cell_length_c 8.3204
_cell_angle_alpha 90.00
_cell_angle_beta 90.00
_cell_angle_gamma 90.00
loop_
_atom_site_label
_atom_site_type_symbol
_atom_site_fract_x
_atom_site_fract_y
_atom_site_fract_z
_atom_site_occupancy
Ba1 Ba 0.0000 0.0000 0.0000 1
Cd1 Cd 0.2500 0.2500 0.7500 1
Ga1 Ga 0.1244 0.1244 0.3756 1
# offset from the most stable computed form = 13.4 kJ/mol of atoms
# ΔH_f (0 K) = -0.14 eV per atom

# NaNp3S6, optimized geometry, DFT GGA-PBE
data_NaNp3S6
_chemical_formula_sum 'Na4 Np12 S24'
_space_group_name_H-M_alt 'C m c 21'
_space_group_IT_number 36
_space_group_name_Hall 'C 2c -2'
_cell_length_a 10.4303
_cell_length_b 12.8706
_cell_length_c 6.7920
_cell_angle_alpha 90.00
_cell_angle_beta 90.00
_cell_angle_gamma 90.00
loop_
_atom_site_label
_atom_site_type_symbol
_atom_site_fract_x
_atom_site_fract_y
_atom_site_fract_z
_atom_site_occupancy
Na1 Na 0.0000 0.1765 0.0000 1
Np1 Np 0.0000 0.3983 0.3910 1
Np2 Np 0.1834 0.1036 0.4925 1
S1 S 0.0000 0.0088 0.2582 1
S2 S 0.0000 0.2316 0.6222 1
S3 S 0.1622 0.4659 0.6883 1
S4 S 0.1824 0.2719 0.2343 1
# offset from the most stable computed form = 0.0 kJ/mol of atoms
# raw formation energy = -1.327 eV/atom

# Ac4Bi2SbI, optimized geometry, DFT GGA-PBE
data_Ac4Bi2SbI
_chemical_formula_sum 'Ac4 Bi2 Sb1 I1'
_space_group_name_H-M_alt 'P 1 2/m 1'
_space_group_IT_number 10
_space_group_name_Hall '-P 2y'
_cell_length_a 8.3245
_cell_length_b 4.8543
_cell_length_c 8.3785
_cell_angle_alpha 90.00
_cell_angle_beta 109.70
_cell_angle_gamma 90.00
loop_
_atom_site_label
_atom_site_type_symbol
_atom_site_fract_x
_atom_site_fract_y
_atom_site_fract_z
_atom_site_occupancy
Ac1 Ac 0.2419 0.0000 0.2366 1
Ac2 Ac 0.2495 0.5000 0.7600 1
Bi1 Bi 0.0000 0.0000 0.5000 1
Bi2 Bi 0.0000 0.5000 0.0000 1
Sb1 Sb 0.5000 0.0000 0.0000 1
I1 I 0.5000 0.5000 0.5000 1
# raw formation energy = -1.061 eV/atom

In the order shown, the computed calculated density values come out to 6.10; 6.75; 8.20 g/cm³.
In the order shown, the computed DFT total energy values come out to -0.194; -0.575; -0.352 Ry/atom.